Sc2AlN: optimized geometry, PBE-GGA.

## Properties
E_form (uncorrected) in eV/atom: -0.69
Crystal system: tetragonal
Space-group type: I-42d (122)
DOS(E_F) in states/eV/f.u.: 1.68

a = 6.4320 Å, b = 6.4320 Å, c = 7.2830 Å
α = 90.00°, β = 90.00°, γ = 90.00°
Last column: nearest neighbours and their distance in Å.
Atoms (fractional coordinates):
Sc: 0.1476 0.7500 0.1250  2 N 2.08
Sc: 0.2500 0.1476 0.8750  2 N 2.08
Sc: 0.2500 0.3524 0.3750  2 N 2.08
Sc: 0.3524 0.7500 0.6250  2 N 2.08
Sc: 0.6476 0.2500 0.6250  2 N 2.08
Sc: 0.7500 0.6476 0.3750  2 N 2.08
Sc: 0.7500 0.8524 0.8750  2 N 2.08
Sc: 0.8524 0.2500 0.1250  2 N 2.08
Al: 0.0000 0.0000 0.5000  4 Sc 2.92
Al: 0.0000 0.5000 0.7500  4 Sc 2.92
Al: 0.5000 0.0000 0.2500  4 Sc 2.92
Al: 0.5000 0.5000 0.0000  4 Sc 2.92
N: 0.0000 0.0000 0.0000  4 Sc 2.08
N: 0.0000 0.5000 0.2500  4 Sc 2.08
N: 0.5000 0.0000 0.7500  4 Sc 2.08
N: 0.5000 0.5000 0.5000  4 Sc 2.08


Rb3SmF6: optimized geometry, PBE-GGA.

## Properties
E_form (uncorrected) in eV/atom: -3.21
Crystal system: tetragonal
Space-group type: I4/mmm (139)
DOS(E_F) in states/eV/f.u.: 0.00

a = 7.0880 Å, b = 7.0880 Å, c = 7.0880 Å
α = 117.95°, β = 117.95°, γ = 93.59°
Last column: nearest neighbours and their distance in Å.
Atoms (fractional coordinates):
Rb: 0.0000 0.0000 0.0000  2 F 2.58
Rb: 0.2500 0.7500 0.5000  4 F 2.81
Rb: 0.7500 0.2500 0.5000  4 F 2.81
Sm: 0.5000 0.5000 0.0000  6 F 2.24-2.27
F: 0.1933 0.5000 0.6933  1 Sm 2.24
F: 0.2658 0.2658 0.0000  1 Sm 2.27
F: 0.5000 0.1933 0.6933  1 Sm 2.24
F: 0.5000 0.8067 0.3067  1 Sm 2.24
F: 0.7342 0.7342 0.0000  1 Sm 2.27
F: 0.8067 0.5000 0.3067  1 Sm 2.24


RbV4Br8: optimized geometry, PBE-GGA.

## Properties
E_form (uncorrected) in eV/atom: -0.79
Crystal system: trigonal
Space-group type: R-3m (166)
DOS(E_F) in states/eV/f.u.: 7.69

a = 9.4448 Å, b = 9.4448 Å, c = 9.4448 Å
α = 48.92°, β = 48.92°, γ = 48.92°
Last column: nearest neighbours and their distance in Å.
Atoms (fractional coordinates):
Rb: 0.0000 0.0000 0.0000  6 Br 3.51
V: 0.0000 0.0000 0.5000  6 Br 2.68-2.69
V: 0.0000 0.5000 0.0000  6 Br 2.68-2.69
V: 0.5000 0.0000 0.0000  6 Br 2.68-2.69
V: 0.5000 0.5000 0.5000  6 Br 2.68
Br: 0.2243 0.2243 0.2243  3 V 2.68
Br: 0.2258 0.7250 0.7250  3 V 2.68-2.69
Br: 0.2750 0.2750 0.7742  3 V 2.68-2.69
Br: 0.2750 0.7742 0.2750  3 V 2.68-2.69
Br: 0.7250 0.2258 0.7250  3 V 2.68-2.69
Br: 0.7250 0.7250 0.2258  3 V 2.68-2.69
Br: 0.7742 0.2750 0.2750  3 V 2.68-2.69
Br: 0.7757 0.7757 0.7757  3 V 2.68


Q: E_form (uncorrected) of number 1 (Sc2AlN)?
A: -0.69 eV/atom


What did the second record say?
Rb3SmF6: optimized geometry, PBE-GGA.

## Properties
E_form (uncorrected) in eV/atom: -3.21
Crystal system: tetragonal
Space-group type: I4/mmm (139)
DOS(E_F) in states/eV/f.u.: 0.00

a = 7.0880 Å, b = 7.0880 Å, c = 7.0880 Å
α = 117.95°, β = 117.95°, γ = 93.59°
Last column: nearest neighbours and their distance in Å.
Atoms (fractional coordinates):
Rb: 0.0000 0.0000 0.0000  2 F 2.58
Rb: 0.2500 0.7500 0.5000  4 F 2.81
Rb: 0.7500 0.2500 0.5000  4 F 2.81
Sm: 0.5000 0.5000 0.0000  6 F 2.24-2.27
F: 0.1933 0.5000 0.6933  1 Sm 2.24
F: 0.2658 0.2658 0.0000  1 Sm 2.27
F: 0.5000 0.1933 0.6933  1 Sm 2.24
F: 0.5000 0.8067 0.3067  1 Sm 2.24
F: 0.7342 0.7342 0.0000  1 Sm 2.27
F: 0.8067 0.5000 0.3067  1 Sm 2.24